# Nb3Mo

Crystalline Nb3Mo at its relaxed geometry (PBE, the Alexandria database).

a = 2.6637 Å, b = 5.6690 Å, c = 5.6930 Å
α = 119.86°, β = 103.53°, γ = 90.00°
Last column: nearest neighbours and their distance in Å.
Fractional coordinates of all 4 atoms:
Nb  0.7488  0.0514  0.4976  3 Nb 2.66-2.83, 1 Mo 2.84
Nb  0.2512  0.5538  0.5024  3 Nb 2.66-2.83, 1 Mo 2.84
Nb  0.5000  0.5285  0.0000  4 Nb 2.66-2.83
Mo  0.0000  0.0329  0.0000  2 Mo 2.66, 2 Nb 2.84

Properties
Calculated total energy, eV for the cell shown: -40.18
Volume, Å³ per cell: 72
Size of the total moment, μB/atom: 0.000
Space group: Imm2
Formation enthalpy at 0 K, meV per atom: 215

# DySb

Crystalline DySb at its relaxed geometry (PBE, the Alexandria database).

a = 3.7941 Å, b = 3.7941 Å, c = 3.7941 Å
α = 90.00°, β = 90.00°, γ = 90.00°
Last column: nearest neighbours and their distance in Å.
Fractional coordinates of all 2 atoms:
Dy  0.0000  0.0000  0.0000  8 Sb 3.29
Sb  0.5000  0.5000  0.5000  8 Dy 3.29

Properties
Calculated total energy, eV for the cell shown: -10.30
Volume, Å³ per cell: 55
Size of the total moment, μB/atom: 0.000
Space group: Pm-3m

# As2PdBr8

Crystalline As2PdBr8 at its relaxed geometry (PBE, the Alexandria database).

a = 6.9553 Å, b = 9.1605 Å, c = 9.1605 Å
α = 55.18°, β = 97.92°, γ = 97.92°
Last column: nearest neighbours and their distance in Å.
Fractional coordinates of all 11 atoms:
Br  0.3666  0.7764  0.7764  1 As 2.36
Br  0.2064  0.3318  0.3318  1 As 2.44
Br  0.7745  0.7295  0.1471  1 Pd 2.47, 1 As 2.73
Br  0.7745  0.1471  0.7295  1 Pd 2.47, 1 As 2.73
Br  0.6334  0.2236  0.2236  1 As 2.36
Br  0.7936  0.6682  0.6682  1 As 2.44
Br  0.2255  0.8529  0.2705  1 Pd 2.47, 1 As 2.73
Br  0.2255  0.2705  0.8529  1 Pd 2.47, 1 As 2.73
Pd  0.0000  0.0000  0.0000  4 Br 2.47
As  0.7100  0.8089  0.8089  2 Br 2.36-2.44
As  0.2900  0.1911  0.1911  2 Br 2.36-2.44

Properties
Calculated total energy, eV for the cell shown: -31.14
Volume, Å³ per cell: 473
Size of the total moment, μB/atom: 0.000
Space group: C2/m

# NaCr

Crystalline NaCr at its relaxed geometry (PBE, the Alexandria database).

a = 9.0855 Å, b = 9.0855 Å, c = 9.0855 Å
α = 90.00°, β = 90.00°, γ = 90.00°
Last column: nearest neighbours and their distance in Å.
Fractional coordinates of all 16 atoms:
Na  0.7883  0.2117  0.7883  4 Cr 3.15-3.23
Na  0.2883  0.2883  0.7117  4 Cr 3.15-3.23
Na  0.2883  0.7117  0.2883  4 Cr 3.15-3.23
Na  0.7117  0.2883  0.2883  4 Cr 3.15-3.23
Na  0.2117  0.7883  0.7883  4 Cr 3.15-3.23
Na  0.7883  0.7883  0.2117  4 Cr 3.15-3.23
Na  0.2117  0.2117  0.2117  4 Cr 3.15-3.23
Na  0.7117  0.7117  0.7117  4 Cr 3.15-3.23
Cr  0.4166  0.4166  0.4166  3 Cr 2.14
Cr  0.0834  0.9166  0.0834  3 Cr 2.14
Cr  0.9166  0.9166  0.9166  3 Cr 2.14
Cr  0.0834  0.0834  0.9166  3 Cr 2.14
Cr  0.5834  0.4166  0.5834  3 Cr 2.14
Cr  0.5834  0.5834  0.4166  3 Cr 2.14
Cr  0.4166  0.5834  0.5834  3 Cr 2.14
Cr  0.9166  0.0834  0.0834  3 Cr 2.14

Properties
Calculated total energy, eV for the cell shown: -64.61
Volume, Å³ per cell: 750
Size of the total moment, μB/atom: 0.251
Space group: I-43m
Formation enthalpy at 0 K, meV per atom: 1433
Energy above the lowest structure with this stoichiometry, eV per atom: 0.6457

# BaPr2Rh

Crystalline BaPr2Rh at its relaxed geometry (PBE, the Alexandria database).

a = 4.2440 Å, b = 4.2440 Å, c = 10.2335 Å
α = 78.03°, β = 78.03°, γ = 60.00°
Last column: nearest neighbours and their distance in Å.
Fractional coordinates of all 4 atoms:
Pr  0.2829  0.2829  0.1514  3 Rh 2.87
Pr  0.0496  0.0496  0.8511  3 Rh 2.87
Rh  0.6662  0.6662  0.0014  6 Pr 2.87
Ba  0.5013  0.5013  0.4961  6 Pr 4.21-4.30, 6 Ba 4.24

Properties
Calculated total energy, eV for the cell shown: -20.15
Volume, Å³ per cell: 155
Size of the total moment, μB/atom: 0.000
Space group: R3m
Formation enthalpy at 0 K, meV per atom: -330
Energy above the lowest structure with this stoichiometry, eV per atom: 0.0000

# Ho2Tm6Sc

Crystalline Ho2Tm6Sc at its relaxed geometry (PBE, the Alexandria database).

a = 4.8997 Å, b = 6.0142 Å, c = 27.1265 Å
α = 148.26°, β = 90.00°, γ = 114.04°
Last column: nearest neighbours and their distance in Å.
Fractional coordinates of all 9 atoms:
Tm  0.7775  0.5550  0.5555  7 Tm 3.47-3.50, 5 Ho 3.48-3.49
Tm  0.5491  0.0983  0.1085  7 Tm 3.43-3.50, 3 Sc 3.46, 2 Ho 3.46
Tm  0.4509  0.9017  0.8915  7 Tm 3.43-3.50, 3 Sc 3.46, 2 Ho 3.46
Tm  0.1025  0.2050  0.2192  7 Tm 3.43-3.50, 2 Sc 3.45, 3 Ho 3.46-3.49
Tm  0.8975  0.7950  0.7808  7 Tm 3.43-3.50, 2 Sc 3.45, 3 Ho 3.46-3.49
Tm  0.2225  0.4450  0.4445  7 Tm 3.47-3.50, 5 Ho 3.48-3.49
Sc  0.0000  0.0000  0.0000  2 Ho 3.44, 10 Tm 3.45-3.46
Ho  0.3422  0.6843  0.6705  1 Sc 3.44, 10 Tm 3.46-3.49, 1 Ho 3.54
Ho  0.6578  0.3157  0.3295  1 Sc 3.44, 10 Tm 3.46-3.49, 1 Ho 3.54

Properties
Calculated total energy, eV for the cell shown: -41.99
Volume, Å³ per cell: 266
Size of the total moment, μB/atom: 0.000
Space group: C2/m
Formation enthalpy at 0 K, meV per atom: 36
Energy above the lowest structure with this stoichiometry, eV per atom: 0.0000

# Dy4AgRu2Au

Crystalline Dy4AgRu2Au at its relaxed geometry (PBE, the Alexandria database).

a = 4.9518 Å, b = 4.9518 Å, c = 8.5744 Å
α = 73.22°, β = 73.22°, γ = 60.00°
Last column: nearest neighbours and their distance in Å.
Fractional coordinates of all 8 atoms:
Ag  0.0000  0.0000  0.0000  8 Dy 3.04
Ru  0.7494  0.7494  0.7518  8 Dy 3.02-3.04
Ru  0.2506  0.2506  0.2482  8 Dy 3.02-3.04
Dy  0.1255  0.1255  0.6236  3 Au 3.03, 4 Ru 3.03-3.04, 1 Ag 3.04
Dy  0.3754  0.3754  0.8739  1 Au 3.02, 4 Ru 3.02-3.03, 3 Ag 3.04
Dy  0.6246  0.6246  0.1261  1 Au 3.02, 4 Ru 3.02-3.03, 3 Ag 3.04
Dy  0.8745  0.8745  0.3764  3 Au 3.03, 4 Ru 3.03-3.04, 1 Ag 3.04
Au  0.5000  0.5000  0.5000  8 Dy 3.02-3.03

Properties
Calculated total energy, eV for the cell shown: -46.86
Volume, Å³ per cell: 172
Size of the total moment, μB/atom: 0.000
Space group: R-3m
Formation enthalpy at 0 K, meV per atom: -472

# La4Pm2Sn3Cl2

Crystalline La4Pm2Sn3Cl2 at its relaxed geometry (PBE, the Alexandria database).

a = 5.4401 Å, b = 5.4401 Å, c = 12.8542 Å
α = 102.22°, β = 102.22°, γ = 90.00°
Last column: nearest neighbours and their distance in Å.
Fractional coordinates of all 11 atoms:
Sn  0.0000  0.0000  0.0000  8 La 3.46
Sn  0.8277  0.8277  0.6554  1 Pm 3.13, 4 La 3.43
Sn  0.1723  0.1723  0.3446  1 Pm 3.13, 4 La 3.43
La  0.4126  0.9126  0.8252  2 Cl 2.74
La  0.0874  0.5874  0.1748  2 Cl 2.74
La  0.9126  0.4126  0.8252  2 Cl 2.74
La  0.5874  0.0874  0.1748  2 Cl 2.74
Pm  0.6999  0.6999  0.3999  1 Cl 3.07, 1 Sn 3.13
Pm  0.3001  0.3001  0.6001  1 Cl 3.07, 1 Sn 3.13
Cl  0.4253  0.4253  0.8505  4 La 2.74
Cl  0.5747  0.5747  0.1495  4 La 2.74

Properties
Calculated total energy, eV for the cell shown: -53.91
Volume, Å³ per cell: 363
Size of the total moment, μB/atom: 0.000
Space group: I4/mmm

# In2SnPb2

Crystalline In2SnPb2 at its relaxed geometry (PBE, the Alexandria database).

a = 3.5420 Å, b = 3.5420 Å, c = 11.8296 Å
α = 98.61°, β = 98.61°, γ = 90.00°
Last column: nearest neighbours and their distance in Å.
Fractional coordinates of all 5 atoms:
Sn  0.0000  0.0000  0.0000  8 In 3.32, 4 Sn 3.54
In  0.5943  0.5943  0.1886  4 Sn 3.32, 4 Pb 3.44, 4 In 3.54
In  0.4057  0.4057  0.8114  4 Sn 3.32, 4 Pb 3.44, 4 In 3.54
Pb  0.1962  0.1962  0.3925  4 In 3.44, 8 Pb 3.53-3.54
Pb  0.8038  0.8038  0.6075  4 In 3.44, 8 Pb 3.53-3.54

Properties
Calculated total energy, eV for the cell shown: -16.77
Volume, Å³ per cell: 145
Size of the total moment, μB/atom: 0.000
Space group: I4/mmm
Formation enthalpy at 0 K, meV per atom: 26
Energy above the lowest structure with this stoichiometry, eV per atom: 0.0000

# TaReSi2

Crystalline TaReSi2 at its relaxed geometry (PBE, the Alexandria database).

a = 8.4736 Å, b = 8.4736 Å, c = 8.4736 Å
α = 19.56°, β = 19.56°, γ = 19.56°
Last column: nearest neighbours and their distance in Å.
Fractional coordinates of all 4 atoms:
Re  0.7500  0.7500  0.7500  6 Si 2.57, 6 Re 2.88
Ta  0.2500  0.2500  0.2500  6 Si 2.75, 6 Ta 2.88
Si  0.0046  0.0046  0.0046  3 Re 2.57, 3 Ta 2.75, 6 Si 2.88
Si  0.4954  0.4954  0.4954  3 Re 2.57, 3 Ta 2.75, 6 Si 2.88

Properties
Calculated total energy, eV for the cell shown: -35.28
Volume, Å³ per cell: 60
Size of the total moment, μB/atom: 0.000
Space group: R-3m